{"formula": "BaMg2Cr", "functional": "GGA-PBE", "state": "relaxed", "cell": [[5.356, 0.000, 0.000], [0.000, 5.356, 0.000], [2.678, 2.678, 9.633]], "species": ["Mg", "Mg", "Mg", "Mg", "Cr", "Cr", "Ba", "Ba"], "fractional_positions": [[0.326, 0.625, 0.250], [0.375, 0.576, 0.750], [0.875, 0.674, 0.750], [0.424, 0.125, 0.250], [0.250, 0.750, 0.500], [0.500, 0.500, 0.000], [0.000, 0.000, 0.000], [0.750, 0.250, 0.500]], "ef_mev_per_atom": 598, "n_ef_per_ev_cell": 6.35, "space_group": "I-42d, No. 122", "e_above_lowest_polymorph_ev_per_atom": 0.266}